A.
Here is LiMgNi2H after structural relaxation from Alexandria via LeMat-Bulk. Energies are from PBE.

abc: 3.6968 3.6968 3.8396
angles: 90.00 90.00 90.00
Fractional coordinates of all 5 atoms:
Li: 0.0000 0.0000 0.0000
Mg: 0.5000 0.5000 0.0000
Ni: 0.0000 0.5000 0.5000
Ni: 0.5000 0.0000 0.5000
H: 0.0000 0.0000 0.5000

As for the total magnetization: 0.0 μB/cell. The density of states at the Fermi level comes out at 0.91 states/eV per cell.

***

B.
Here is LiMgNi2H after structural relaxation from Alexandria via LeMat-Bulk. Energies are from PBE.

abc: 3.6571 3.6571 4.0194
angles: 90.00 90.00 90.00
Fractional coordinates of all 5 atoms:
Li: 0.0000 0.0000 0.0000
Mg: 0.5000 0.5000 0.0000
Ni: 0.0000 0.5000 0.5000
Ni: 0.5000 0.0000 0.5000
H: 0.5000 0.5000 0.5000

As for the total magnetization: 0.0 μB/cell. The density of states at the Fermi level comes out at 3.05 states/eV per cell.

***

Which of them is the most stable, and which is the least stable? A and B, in that order.